Here is a geometry-optimized Ba3CdTe2O9 structure from Alexandria. Energies are from PBE.

a = 6.065 Å, b = 6.065 Å, c = 7.402 Å
α = 90.00°, β = 90.00°, γ = 120.00°
Atoms (fractional coordinates):
1 Ba 0.333 0.667 0.666
2 Ba 0.000 0.000 0.000
3 Ba 0.667 0.333 0.334
4 Cd 0.000 0.000 0.500
5 Te 0.333 0.667 0.171
6 Te 0.667 0.333 0.829
7 O 0.822 0.178 0.679
8 O 0.822 0.644 0.679
9 O 0.356 0.178 0.679
10 O 0.644 0.822 0.321
11 O 0.178 0.356 0.321
12 O 0.178 0.822 0.321
13 O 0.500 0.000 0.000
14 O 0.000 0.500 0.000
15 O 0.500 0.500 0.000

## Properties
Uncorrected formation energy ... -1.857 eV per atom
Spin magnetization ... 0.000 μB per atom
Calculated density ... 6.50 g/cm3